# 1
Here is a geometry-optimized SrBeSe2 structure from the Alexandria database. Energies are from PBE.

POSCAR file:
```
SrBeSe2
1.0
3.5099 0.0000 0.0000
0.0000 4.0737 -0.0545
0.0000 0.6984 6.8251
Sr Se Be
1 2 1
Cartesian
1.7550 1.1930 1.6927
0.0000 3.9175 6.6393
0.0000 3.2408 3.5166
1.7550 3.5791 5.0780
```

Output
The value obtained for the final energy is -4.052 eV/atom. For the calculated density, the calculation gives 4.33 g/cm³. The calculation puts the total moment at 0.000 μB/f.u.

---

# 2
Here is a geometry-optimized SrBeSe2 structure from the Alexandria database. Energies are from PBE.

POSCAR file:
```
SrBeSe2
1.0
6.8930 0.0000 0.0000
0.0000 6.8930 0.0000
3.4465 3.4465 3.9976
Sr Se Be
2 4 2
Cartesian
0.0000 0.0000 0.0000
6.8930 3.4465 1.9988
4.5204 1.7233 0.9994
2.3726 5.1698 0.9994
5.1698 5.8192 2.9982
8.6163 7.9669 2.9982
3.4465 3.4465 0.0000
3.4465 6.8930 1.9988
```

Output
The value obtained for the final energy is -4.380 eV/atom. For the calculated density, the calculation gives 4.45 g/cm³. The calculation puts the total moment at 0.000 μB/f.u.

---

# 3
Here is a geometry-optimized TaBeSe structure from the Alexandria database. Energies are from PBE.

POSCAR file:
```
TaBeSe
1.0
4.1757 0.0000 0.0000
2.0879 3.6163 0.0000
2.0879 1.2054 3.4095
Be Se Ta
1 1 1
Cartesian
4.1757 2.4109 1.7047
6.2636 3.6163 2.5571
0.0000 0.0000 0.0000
```

Output
The offset from the most stable computed form comes out at 736.0 meV/atom. The value obtained for the final energy is -5.689 eV/atom. For the calculated density, the calculation gives 8.67 g/cm³. The calculation puts the total moment at 0.008 μB/f.u.

---

# 4
Here is a geometry-optimized TaBeSe structure from the Alexandria database. Energies are from PBE.

POSCAR file:
```
TaBeSe
1.0
4.2859 0.0000 0.0000
-2.1430 3.7117 0.0000
0.0000 0.0000 3.1626
Be Se Ta
1 1 1
Cartesian
0.0000 0.0000 0.0010
0.0000 2.4745 1.5802
2.1430 1.2372 1.5814
```

Output
The offset from the most stable computed form comes out at 461.5 meV/atom. The value obtained for the final energy is -5.963 eV/atom. For the calculated density, the calculation gives 8.88 g/cm³. The calculation puts the total moment at 0.000 μB/f.u.

---

# 5
Here is a geometry-optimized TaBeSe3 structure from the Alexandria database. Energies are from PBE.

POSCAR file:
```
TaBeSe3
1.0
4.5006 0.0000 0.0000
0.0000 4.5006 0.0000
0.0000 0.0000 4.5006
Be Se Ta
1 3 1
Cartesian
0.0000 0.0000 0.0000
0.0000 2.2503 0.0000
0.0000 0.0000 2.2503
2.2503 0.0000 0.0000
2.2503 2.2503 2.2503
```

Output
The offset from the most stable computed form comes out at 153.1 meV/atom. The value obtained for the final energy is -4.678 eV/atom. For the calculated density, the calculation gives 7.78 g/cm³. The calculation puts the total moment at 0.000 μB/f.u.

---

# 6
Here is a geometry-optimized TaBeSe structure from the Alexandria database. Energies are from PBE.

POSCAR file:
```
TaBeSe
1.0
4.2513 0.0000 0.0000
2.1257 3.6818 0.0000
2.1257 1.2273 3.4712
Be Se Ta
1 1 1
Cartesian
0.0000 0.0000 0.0000
4.2513 2.4545 1.7356
6.3770 3.6818 2.6034
```

Output
The offset from the most stable computed form comes out at 757.8 meV/atom. The value obtained for the final energy is -5.667 eV/atom. For the calculated density, the calculation gives 8.22 g/cm³. The calculation puts the total moment at 0.000 μB/f.u.

---

# 7
Here is a geometry-optimized Ta2BeSe structure from the Alexandria database. Energies are from PBE.

POSCAR file:
```
Ta2BeSe
1.0
-3.1032 2.2120 2.4296
-4.1896 0.5138 -1.6154
-3.4368 -2.2606 1.8720
Be Se Ta
1 1 2
Cartesian
-5.3648 0.2326 1.3431
-8.0472 0.3490 2.0146
0.0000 0.0000 0.0000
-2.6824 0.1163 0.6715
```

Output
The offset from the most stable computed form comes out at 677.7 meV/atom. The value obtained for the final energy is -7.122 eV/atom. For the calculated density, the calculation gives 11.44 g/cm³. The calculation puts the total moment at 0.005 μB/f.u.

---

# 8
Here is a geometry-optimized TaBe4Se structure from the Alexandria database. Energies are from PBE.

POSCAR file:
```
TaBe4Se
1.0
0.0000 3.2454 3.2454
3.2454 0.0000 3.2454
3.2454 3.2454 0.0000
Ta Be Se
1 4 1
Cartesian
0.0000 0.0000 0.0000
2.4040 4.0868 4.0868
4.0868 4.0868 2.4040
4.0868 2.4040 4.0868
2.4040 2.4040 2.4040
4.8681 4.8681 4.8681
```

Output
The value obtained for the final energy is -4.794 eV/atom. For the calculated density, the calculation gives 7.19 g/cm³. The calculation puts the total moment at 0.000 μB/f.u.

---

# 9
Here is a geometry-optimized TaBeSe structure from the Alexandria database. Energies are from PBE.

POSCAR file:
```
TaBeSe
1.0
3.1753 0.0000 0.0000
-1.5876 2.7499 0.0000
0.0000 0.0000 5.7839
Be Se Ta
1 1 1
Cartesian
0.0000 0.0000 5.7313
1.5877 0.9166 2.0055
0.0000 1.8333 3.8309
```

Output
The offset from the most stable computed form comes out at 201.6 meV/atom. The value obtained for the final energy is -6.223 eV/atom. For the calculated density, the calculation gives 8.84 g/cm³. The calculation puts the total moment at 0.000 μB/f.u.

---

# 10
Here is a geometry-optimized Ta2BeSe structure from the Alexandria database. Energies are from PBE.

POSCAR file:
```
Ta2BeSe
1.0
-1.9263 3.3148 2.8091
-1.0138 -2.4229 3.9612
3.9069 0.9956 -2.5168
Be Se Ta
1 1 2
Cartesian
0.2553 2.3782 1.8387
0.7115 -0.4907 2.4148
-2.8742 0.8719 6.6187
-1.5359 0.4659 3.5368
```

Output
The offset from the most stable computed form comes out at 198.3 meV/atom. The value obtained for the final energy is -7.601 eV/atom. For the calculated density, the calculation gives 11.96 g/cm³. The calculation puts the total moment at 0.000 μB/f.u.

---

# 11
Here is a geometry-optimized Ta2BeSe structure from the Alexandria database. Energies are from PBE.

POSCAR file:
```
Ta2BeSe
1.0
8.5537 0.0179 0.0106
7.9692 3.1078 0.0106
7.9692 1.5076 2.7177
Be Se Ta
1 1 2
Cartesian
12.3784 2.3417 1.3842
18.2250 3.4477 2.0380
0.0960 0.0182 0.0107
6.0386 1.1424 0.6753
```

Output
The offset from the most stable computed form comes out at 271.4 meV/atom. The value obtained for the final energy is -7.528 eV/atom. For the calculated density, the calculation gives 10.43 g/cm³. The calculation puts the total moment at 0.000 μB/f.u.

---

# 12
Here is a geometry-optimized TaBeSe4 structure from the Alexandria database. Energies are from PBE.

POSCAR file:
```
TaBeSe4
1.0
4.5093 -2.1319 -2.3566
0.6138 -5.4722 -0.3319
-0.3754 -2.5262 -4.8897
Ta Be Se
1 1 4
Cartesian
3.5608 -7.5977 -5.6836
0.0000 0.0000 0.0000
4.0311 -4.8652 -4.0196
1.5946 -5.0619 -5.2832
2.0880 -6.5315 -3.0096
1.7818 -3.8018 -2.8440
```

Output
The value obtained for the final energy is -3.716 eV/atom. For the calculated density, the calculation gives 7.08 g/cm³. The calculation puts the total moment at 1.812 μB/f.u.

---

The highest total moment belongs to which entry? TaBeSe4

---

Number 1 is which compound? SrBeSe2

---

The highest final energy belongs to which entry? TaBeSe4

---

calculated density of number 1 (SrBeSe2)? 4.33 g/cm³